Run A
LaDy3Mg: optimized geometry, GGA-PBE.

Computed properties:
D(E_F) = 5.66 states/eV/f.u.
M_tot = 0.00 μB per cell
Calculated volume = 329 Å³/cell

abc: 3.7692 10.5189 8.2997
angles: 90.00 90.00 90.00
With the nearest neighbours (Å) after each atom.
Space group Pmmn (No. 59, origin choice 2)
Symmetry-distinct sites (fractional):
La  0.2500  0.2500  0.0571  1 Dy 3.16, 2 Mg 3.27
Dy  0.2500  0.9998  0.7103  2 Mg 3.24, 3 Dy 3.46-3.47
Dy  0.2500  0.2500  0.4373  2 Mg 3.11, 1 La 3.16, 6 Dy 3.46-3.47
Mg  0.2500  0.7500  0.2653  6 Dy 3.11-3.24, 2 La 3.27



Run B
LaDy3Mg: optimized geometry, GGA-PBE.

Computed properties:
D(E_F) = 6.57 states/eV/f.u.
M_tot = 0.00 μB per cell
Calculated volume = 313 Å³/cell

abc: 3.7270 6.8540 12.7514
angles: 86.41 89.97 74.24
With the nearest neighbours (Å) after each atom.
Space group P-1 (No. 2)
Symmetry-distinct sites (fractional):
La  0.2359  0.0272  0.2563  2 Mg 3.43, 8 Dy 3.56-3.72, 2 La 3.73
Dy  0.0360  0.4273  0.6868  2 Mg 3.31, 5 Dy 3.49-3.57, 2 La 3.56-3.57
Dy  0.1493  0.2020  0.9459  4 Mg 3.27-3.31, 3 Dy 3.46-3.53, 2 La 3.59
Dy  0.3675  0.7659  0.5236  9 Dy 3.49-3.73, 3 La 3.70-3.72
Mg  0.4488  0.6022  0.8755  6 Dy 3.27-3.31, 1 Mg 3.37, 2 La 3.43



Most stable of them? run B.



Run A
La4DyN4: optimized geometry, GGA-PBE.

Computed properties:
D(E_F) = 6.30 states/eV/f.u.
M_tot = 4.93 μB per cell
Calculated volume = 408 Å³/cell

abc: 6.0647 6.0647 11.0827
angles: 90.00 90.00 90.00
With the nearest neighbours (Å) after each atom.
Space group I-42m (No. 121)
Symmetry-distinct sites (fractional):
La  0.0000  0.0000  0.2108  4 N 2.58-2.71
La  0.0000  0.5000  0.0000  4 N 2.52
Dy  0.0000  0.0000  0.5000  4 N 2.33
N  0.2248  0.2248  0.6177  1 Dy 2.33, 3 La 2.52-2.58



Run B
La4DyN4: optimized geometry, GGA-PBE.

Computed properties:
D(E_F) = 3.66 states/eV/f.u.
M_tot = 1.78 μB per cell
Calculated volume = 357 Å³/cell

abc: 12.2695 3.6611 9.1898
angles: 90.00 120.26 90.00
With the nearest neighbours (Å) after each atom.
Space group C2/m (No. 12)
Symmetry-distinct sites (fractional):
La  0.1028  0.0000  0.3777  3 N 2.44-2.56
La  0.2067  0.5000  0.8134  5 N 2.45-2.68
Dy  0.0000  0.5000  0.0000  6 N 2.50-2.54
N  0.0982  0.0000  0.9121  4 La 2.45-2.68, 2 Dy 2.54
N  0.1882  0.5000  0.2904  4 La 2.44-2.68, 1 Dy 2.50



Most stable of them? run B.



Run A
NaLaDy2: optimized geometry, GGA-PBE.

Computed properties:
D(E_F) = 5.91 states/eV/f.u.
M_tot = 0.00 μB per cell
Calculated volume = 407 Å³/cell

abc: 3.5735 3.5735 36.8348
angles: 90.00 90.00 120.00
With the nearest neighbours (Å) after each atom.
Space group R3m (No. 160, hexagonal axes)
Symmetry-distinct sites (fractional):
Na  0.0000  0.0000  0.0000  6 Na 3.57, 6 Dy 3.76
La  0.0000  0.0000  0.8334  6 La 3.57, 6 Dy 3.63-3.64
Dy  0.0000  0.0000  0.4188  6 Dy 3.57, 3 La 3.63, 3 Na 3.76
Dy  0.0000  0.0000  0.5813  6 Dy 3.57, 3 La 3.64, 3 Na 3.76



Run B
NaLaDy2: optimized geometry, GGA-PBE.

Computed properties:
D(E_F) = 4.90 states/eV/f.u.
M_tot = 0.00 μB per cell
Calculated volume = 418 Å³/cell

abc: 3.5430 3.5430 38.4231
angles: 90.00 90.00 120.00
With the nearest neighbours (Å) after each atom.
Space group R-3m (No. 166, hexagonal axes)
Symmetry-distinct sites (fractional):
Na  0.0000  0.0000  0.0000  2 Dy 3.51, 6 Na 3.54
La  0.0000  0.0000  0.5000  6 Dy 3.54, 6 La 3.54
Dy  0.0000  0.0000  0.0914  1 Na 3.51, 3 La 3.54, 6 Dy 3.54



Most stable of them? run A.